VASP calculation (PBE) on crystalline PtS2 at its relaxed geometry.

Structure (POSCAR):
```
PtS2
1.0
-2.4023 2.1302 -0.5974
-1.4414 -2.1759 -1.9630
-5.6160 -3.9492 8.5010
Pt S
2 4
Direct
0.0000 0.5000 0.3906
0.5000 0.0000 0.6094
0.0000 0.0000 0.0000
0.5000 0.5000 0.0000
0.5000 0.0000 0.3210
0.0000 0.5000 0.6790
```

Properties
symmetry: P4/nmm
size of the total moment: 0.0 μB/f.u.
VASP energy: -4.5197 eV per atom